# CrNiIrRh (PBE, relaxed)
# - SG: No. 25
# - Energy relative to the elements: -0.090 eV per atom
data_CrNiIrRh
_cell_length_a 2.678
_cell_length_b 3.606
_cell_length_c 5.358
_cell_angle_alpha 90.00
_cell_angle_beta 90.00
_cell_angle_gamma 90.00
_space_group_name_H-M_alt 'P 1'
_space_group_IT_number 1
_space_group_name_Hall 'P 1'
loop_
_atom_site_label
_atom_site_fract_x
_atom_site_fract_y
_atom_site_fract_z
_atom_site_occupancy
Cr1 0.000 0.000 0.000 1
Ni1 0.000 0.000 0.493 1
Ir1 0.500 0.500 0.244 1
Rh1 0.500 0.500 0.744 1